1.
The following is a DFT calculation (GGA-PBE) of a relaxed structure of NpUZnNi.

Lattice parameters (Å, degrees): 6.5762 6.5762 6.5762 90.00 90.00 90.00
With the nearest neighbours (Å) after each atom.
Space group F-43m (No. 216)
Asymmetric unit:
Np  0.0000  0.0000  0.0000 x4  4 Zn 2.85, 4 U 2.85
U  0.2500  0.2500  0.7500 x4  4 Np 2.85, 4 Ni 2.85
Zn  0.2500  0.2500  0.2500 x4  4 Ni 2.85, 4 Np 2.85
Ni  0.0000  0.0000  0.5000 x4  4 U 2.85, 4 Zn 2.85

Energy of formation   0.111 eV per atom
Total magnetic moment   7.0 μB per formula unit
Density   14.0 g/cm3
VASP energy   -123.36 eV/cell

=====

2.
The following is a DFT calculation (GGA-PBE) of a relaxed structure of Ho4CuRh.

Lattice parameters (Å, degrees): 9.3245 9.3245 7.9879 90.00 90.00 90.00
With the nearest neighbours (Å) after each atom.
Space group I4_1md (No. 109)
Asymmetric unit:
Ho  0.0000  0.2017  0.0000 x8  1 Rh 2.72, 2 Cu 2.76-2.78
Ho  0.0000  0.2038  0.4903 x8  2 Rh 2.73-2.76, 1 Cu 2.79
Cu  0.0000  0.0000  0.7464 x4  6 Ho 2.76-2.79
Rh  0.0000  0.0000  0.2455 x4  6 Ho 2.72-2.76

Energy of formation   -0.234 eV per atom
Total magnetic moment   0.0 μB per formula unit
Density   7.9 g/cm3
VASP energy   -124.65 eV/cell